No. 1
Below is ZrTiC2 after structural relaxation, with properties calculated at the PBE level.

a b c (Å): 5.524 5.524 5.524
angles (deg): 33.93 33.93 33.93
Fractional positions:
Ti  0.500  0.500  0.500
Zr  0.000  0.000  0.000
C  0.244  0.244  0.244
C  0.756  0.756  0.756

* energy above the most stable polymorph in this dataset: 0 meV per atom

=====

No. 2
Below is ZrTiC after structural relaxation, with properties calculated at the PBE level.

a b c (Å): 3.234 4.273 6.690
angles (deg): 90.00 90.00 90.00
Fractional positions:
C  0.500  0.000  0.620
Ti  0.500  0.500  0.594
C  0.000  0.500  0.380
Ti  0.000  0.000  0.406
Zr  0.000  0.000  0.856
Zr  0.500  0.500  0.144

* energy above the most stable polymorph in this dataset: 11 meV per atom

=====

| no. | N(E_F) (states/eV/cell) | DFT formation energy (meV/atom) | volume (Å³/f.u.) |
| --- | --- | --- | --- |
| 1 | 0.6 | -743 | 46.8 |
| 2 | 4.1 | -583 | 46.2 |